(1)
A relaxed structure of MnCuSn. Source: Alexandria, functional PBE.

The formation energy comes out at 56 kJ/mol of formula units. The value obtained for the energy is -5.56 eV/atom. The calculation puts the total magnetization at 3.4 μB per formula unit. Its density is 7.79 g cm⁻³.

The structure belongs to space group P1 (No. 1); the cell edges are 3.0823, 4.7702 and 7.2652 Å and the angles 89.47°, 89.88° and 71.27°. The inequivalent atoms are Mn at (0.0000, 0.0000, 0.0000), Mn at (0.4515, 0.0972, 0.6841), Cu at (0.2933, 0.4146, 0.1840), Cu at (0.7470, 0.5040, 0.4914), Sn at (0.0246, 0.9547, 0.3663) and Sn at (0.7244, 0.5510, 0.8605).

(2)
A relaxed structure of CdCo2P. Source: Alexandria, functional PBE.

The formation energy comes out at 197 kJ/mol of formula units. The value obtained for the energy is -4.62 eV/atom. The calculation puts the total magnetization at 2.6 μB per formula unit. Its density is 7.73 g cm⁻³.

The structure belongs to space group F-43m (No. 216); the cell edges are 6.0783, 6.0783 and 6.0783 Å and the angles 90.00°, 90.00° and 90.00°. The inequivalent atoms are Cd at (0.0000, 0.0000, 0.0000), Co at (0.0000, 0.0000, 0.5000), Co at (0.2500, 0.2500, 0.7500) and P at (0.2500, 0.2500, 0.2500).

(3)
A relaxed structure of LiNdBiAu. Source: Alexandria, functional PBE.

The formation energy comes out at -250 kJ/mol of formula units. The value obtained for the energy is -4.11 eV/atom. The calculation puts the total magnetization at 0.0 μB per formula unit. Its density is 9.15 g cm⁻³.

The structure belongs to space group F-43m (No. 216); the cell edges are 7.3940, 7.3940 and 7.3940 Å and the angles 90.00°, 90.00° and 90.00°. The inequivalent atoms are Li at (0.0000, 0.0000, 0.0000), Nd at (0.0000, 0.0000, 0.5000), Bi at (0.2500, 0.2500, 0.2500) and Au at (0.2500, 0.2500, 0.7500).

(4)
A relaxed structure of LiSn3W. Source: Alexandria, functional PBE.

The formation energy comes out at 171 kJ/mol of formula units. The value obtained for the energy is -5.02 eV/atom. The calculation puts the total magnetization at 0.0 μB per formula unit. Its density is 6.09 g cm⁻³.

The structure belongs to space group Pm-3m (No. 221); the cell edges are 5.3021, 5.3021 and 5.3021 Å and the angles 90.00°, 90.00° and 90.00°. The inequivalent atoms are Li at (0.0000, 0.0000, 0.0000), Sn at (0.0000, 0.5000, 0.5000) and W at (0.5000, 0.5000, 0.5000).

(5)
A relaxed structure of Re2C3N6. Source: Alexandria, functional PBE.

The value obtained for the energy is -9.00 eV/atom. The formation energy without anion corrections is 0.324 eV per atom. The calculation puts the total magnetization at 0.0 μB per formula unit. Its density is 6.98 g cm⁻³.

The structure belongs to space group C2/c (No. 15); the cell edges are 9.4533, 4.9158 and 10.6762 Å and the angles 90.00°, 109.28° and 90.00°. The inequivalent atoms are Re at (0.0680, 0.2431, 0.0027), C at (0.0000, 0.4194, 0.2500), C at (0.1674, 0.0852, 0.7676), N at (0.0204, 0.4262, 0.3702), N at (0.1159, 0.0672, 0.6457) and N at (0.2155, 0.1128, 0.8907).

(6)
A relaxed structure of LaTi3Be. Source: Alexandria, functional PBE.

The formation energy comes out at 198 kJ/mol of formula units. The value obtained for the energy is -6.06 eV/atom. The calculation puts the total magnetization at 0.0 μB per formula unit. Its density is 4.90 g cm⁻³.

The structure belongs to space group Pm-3m (No. 221); the cell edges are 4.6217, 4.6217 and 4.6217 Å and the angles 90.00°, 90.00° and 90.00°. The inequivalent atoms are La at (0.0000, 0.0000, 0.0000), Ti at (0.0000, 0.5000, 0.5000) and Be at (0.5000, 0.5000, 0.5000).